# 1
## TmCo12B4 (PBE)

Data for a relaxed structure of TmCo12B4.

Formation energy from the elements = 0.07 eV/atom
Total magnetization = 0.83 μB/atom

a b c (Å): 6.233 6.233 6.233
angles (deg): 109.47 109.47 109.47
Positions (direct):
Tm: 0.000 0.000 0.000
Co: 0.167 0.825 0.341
Co: 0.175 0.341 0.516
Co: 0.175 0.659 0.833
Co: 0.341 0.167 0.825
Co: 0.341 0.516 0.175
Co: 0.484 0.825 0.659
Co: 0.516 0.175 0.341
Co: 0.659 0.484 0.825
Co: 0.659 0.833 0.175
Co: 0.825 0.341 0.167
Co: 0.825 0.659 0.484
Co: 0.833 0.175 0.659
B: 0.000 0.000 0.500
B: 0.000 0.500 0.000
B: 0.500 0.000 0.000
B: 0.500 0.500 0.500


# 2
## Tm3CoB7 (PBE)

Data for a relaxed structure of Tm3CoB7.

Formation energy from the elements = -0.63 eV/atom
Total magnetization = 0.00 μB/atom

a b c (Å): 7.931 7.931 9.225
angles (deg): 90.00 90.00 155.51
Positions (direct):
Tm: 0.106 0.894 0.560
Tm: 0.106 0.894 0.940
Tm: 0.244 0.756 0.250
Tm: 0.756 0.244 0.750
Tm: 0.894 0.106 0.060
Tm: 0.894 0.106 0.440
Co: 0.053 0.947 0.250
Co: 0.947 0.053 0.750
B: 0.272 0.728 0.533
B: 0.272 0.728 0.967
B: 0.369 0.631 0.653
B: 0.369 0.631 0.847
B: 0.458 0.542 0.250
B: 0.479 0.521 0.597
B: 0.479 0.521 0.903
B: 0.521 0.479 0.097
B: 0.521 0.479 0.403
B: 0.542 0.458 0.750
B: 0.631 0.369 0.153
B: 0.631 0.369 0.347
B: 0.728 0.272 0.033
B: 0.728 0.272 0.467


# 3
## Tm2CoB10 (PBE)

Data for a relaxed structure of Tm2CoB10.

Formation energy from the elements = -0.50 eV/atom
Total magnetization = 0.00 μB/atom

a b c (Å): 5.512 11.031 4.126
angles (deg): 90.00 90.00 90.00
Positions (direct):
Tm: 0.200 0.133 0.000
Tm: 0.300 0.633 0.000
Tm: 0.700 0.367 0.000
Tm: 0.800 0.867 0.000
Co: 0.000 0.500 0.500
Co: 0.500 0.000 0.500
B: 0.028 0.314 0.500
B: 0.128 0.960 0.500
B: 0.159 0.802 0.500
B: 0.201 0.386 0.199
B: 0.201 0.386 0.801
B: 0.299 0.886 0.199
B: 0.299 0.886 0.801
B: 0.341 0.302 0.500
B: 0.372 0.460 0.500
B: 0.472 0.814 0.500
B: 0.528 0.186 0.500
B: 0.628 0.540 0.500
B: 0.659 0.698 0.500
B: 0.701 0.114 0.199
B: 0.701 0.114 0.801
B: 0.799 0.614 0.199
B: 0.799 0.614 0.801
B: 0.841 0.198 0.500
B: 0.872 0.040 0.500
B: 0.972 0.686 0.500


# 4
## TmCoB2 (PBE)

Data for a relaxed structure of TmCoB2.

Formation energy from the elements = -0.27 eV/atom
Total magnetization = 0.00 μB/atom
E above lowest polymorph = 0.309 eV/atom

a b c (Å): 5.865 3.135 9.952
angles (deg): 90.00 90.00 90.00
Positions (direct):
Tm: 0.245 0.250 0.205
Tm: 0.255 0.750 0.705
Tm: 0.745 0.250 0.295
Tm: 0.755 0.750 0.795
Co: 0.090 0.750 0.423
Co: 0.410 0.250 0.923
Co: 0.590 0.750 0.077
Co: 0.910 0.250 0.577
B: 0.058 0.250 0.947
B: 0.228 0.750 0.991
B: 0.272 0.250 0.491
B: 0.442 0.750 0.447
B: 0.558 0.250 0.553
B: 0.728 0.750 0.509
B: 0.772 0.250 0.009
B: 0.942 0.750 0.053